# 1
A plane-wave DFT calculation with GGA-PBE was carried out for a relaxed structure of MgHg2Pt.

Cell lengths 4.1846, 4.1846, 8.6119 Å; angles 90.00, 90.00, 90.00 degrees
With the nearest neighbours (Å) after each atom.
Space group I4/mmm (No. 139)
One atom of each set of equivalent atoms:
Mg 0.0000 0.0000 0.0000 (multiplicity 2)  4 Pt 2.96, 8 Hg 3.00
Hg 0.0000 0.5000 0.2500 (multiplicity 4)  4 Hg 2.96, 4 Mg 3.00, 4 Pt 3.00
Pt 0.0000 0.0000 0.5000 (multiplicity 2)  4 Mg 2.96, 8 Hg 3.00

Properties
DFT formation energy = -89 kJ/mol of formula units
mass density = 13.667 Mg/m³
raw total energy = -18.3 eV/cell
Fermi-level density of states = 1.7 states/eV per cell

# 2
A plane-wave DFT calculation with GGA-PBE was carried out for a relaxed structure of Mg11Hg9Pt4.

Cell lengths 13.7517, 20.8023, 3.3525 Å; angles 90.00, 90.00, 90.00 degrees
With the nearest neighbours (Å) after each atom.
Space group Cmmm (No. 65)
One atom of each set of equivalent atoms:
Mg 0.0000 0.0000 0.0000 (multiplicity 2)  8 Hg 2.98
Mg 0.0000 0.1615 0.0000 (multiplicity 4)  8 Hg 3.03-3.11, 5 Mg 3.35-3.37
Mg 0.0000 0.3686 0.0000 (multiplicity 4)  4 Pt 2.72
Mg 0.1961 0.5000 0.0000 (multiplicity 4)  4 Pt 2.73
Mg 0.2447 0.1699 0.0000 (multiplicity 8)  2 Pt 2.68, 4 Hg 2.97-2.99
Hg 0.0000 0.5000 0.5000 (multiplicity 2)  4 Pt 2.89, 8 Mg 3.18-3.21
Hg 0.1127 0.2575 0.5000 (multiplicity 8)  8 Mg 2.99-3.25, 1 Pt 3.03, 1 Hg 3.10
Hg 0.1382 0.0752 0.5000 (multiplicity 8)  8 Mg 2.97-3.23, 1 Pt 2.98, 1 Hg 3.13
Pt 0.1479 0.4014 0.5000 (multiplicity 8)  6 Mg 2.68-2.73, 2 Hg 2.89-2.98

Properties
DFT formation energy = -947 kJ/mol of formula units
mass density = 9.880 Mg/m³
raw total energy = -108.5 eV/cell
Fermi-level density of states = 17.7 states/eV per cell

# 3
A plane-wave DFT calculation with GGA-PBE was carried out for a relaxed structure of MgHg2Pt.

Cell lengths 3.1437, 4.9153, 5.1395 Å; angles 90.00, 90.37, 90.00 degrees
With the nearest neighbours (Å) after each atom.
Space group P2/m (No. 10)
One atom of each set of equivalent atoms:
Mg 0.0000 0.0000 0.0000 (multiplicity 1)  4 Hg 2.90, 4 Pt 3.00-3.02, 2 Mg 3.14
Hg 0.2672 0.5000 0.7485 (multiplicity 2)  2 Pt 2.87, 2 Mg 2.90, 6 Hg 2.95-3.14
Pt 0.5000 0.0000 0.5000 (multiplicity 1)  4 Hg 2.87, 4 Mg 3.00-3.02, 2 Pt 3.14

Properties
DFT formation energy = -50 kJ/mol of formula units
mass density = 12.976 Mg/m³
raw total energy = -8.8 eV/cell
Fermi-level density of states = 1.3 states/eV per cell

# 4
A plane-wave DFT calculation with GGA-PBE was carried out for a relaxed structure of MgHg2Pt.

Cell lengths 4.1891, 4.1891, 8.6668 Å; angles 90.00, 90.00, 90.00 degrees
With the nearest neighbours (Å) after each atom.
Space group I-4m2 (No. 119)
One atom of each set of equivalent atoms:
Mg 0.0000 0.0000 0.0000 (multiplicity 2)  8 Hg 2.96-3.01, 4 Pt 3.01
Hg 0.0000 0.0000 0.5000 (multiplicity 2)  4 Mg 2.96, 4 Hg 3.01, 4 Pt 3.01
Hg 0.0000 0.5000 0.2500 (multiplicity 2)  4 Pt 2.96, 4 Hg 3.01, 4 Mg 3.01
Pt 0.0000 0.5000 0.7500 (multiplicity 2)  8 Hg 2.96-3.01, 4 Mg 3.01

Properties
DFT formation energy = -80 kJ/mol of formula units
mass density = 13.551 Mg/m³
raw total energy = -18.1 eV/cell
Fermi-level density of states = 1.5 states/eV per cell

# 5
A plane-wave DFT calculation with GGA-PBE was carried out for a relaxed structure of Mg4HgPt.

Cell lengths 8.0298, 12.2676, 5.5358 Å; angles 90.00, 111.67, 90.00 degrees
With the nearest neighbours (Å) after each atom.
Space group C2/c (No. 15)
One atom of each set of equivalent atoms:
Mg 0.1085 0.1772 0.0613 (multiplicity 8)  2 Pt 2.67-2.73, 2 Hg 2.91-2.99
Mg 0.2120 0.4208 0.3446 (multiplicity 8)  2 Pt 2.73-2.74, 1 Hg 2.97
Hg 0.0000 0.3748 0.7500 (multiplicity 4)  8 Mg 2.91-3.15
Pt 0.0000 0.0020 0.2500 (multiplicity 4)  8 Mg 2.67-2.74, 2 Pt 2.77

Properties
DFT formation energy = -256 kJ/mol of formula units
mass density = 6.460 Mg/m³
raw total energy = -61.5 eV/cell
Fermi-level density of states = 7.1 states/eV per cell
relative energy among the computed polymorphs = 0.000 eV/atom

# 6
A plane-wave DFT calculation with GGA-PBE was carried out for a relaxed structure of MgHg2Pt.

Cell lengths 3.0834, 3.3871, 7.6759 Å; angles 90.00, 90.00, 90.00 degrees
With the nearest neighbours (Å) after each atom.
Space group Pmm2 (No. 25)
One atom of each set of equivalent atoms:
Mg 0.0000 0.0000 0.0000 (multiplicity 1)  4 Pt 2.69
Hg 0.0000 0.0000 0.4288 (multiplicity 1)  4 Pt 2.97, 6 Hg 3.08-3.26, 1 Mg 3.29
Hg 0.5000 0.5000 0.7307 (multiplicity 1)  8 Hg 3.08-3.39, 4 Mg 3.09
Pt 0.5000 0.5000 0.1828 (multiplicity 1)  4 Mg 2.69, 4 Hg 2.97

Properties
DFT formation energy = -95 kJ/mol of formula units
mass density = 12.855 Mg/m³
raw total energy = -9.2 eV/cell
Fermi-level density of states = 1.4 states/eV per cell

Among the records above, which one has the highest mass density?
number 1